*w*
Entry from Alexandria: crystalline ScNiRh at its relaxed geometry (PBE-GGA).

Results
crystal system = tetragonal
N(E_F) = 5.3 states/eV/f.u.
symmetry = I4mm

abc: 5.0051 5.0056 3.1826
angles: 71.46 71.47 37.07
Last column: nearest neighbours and their distance in Å.
Fractional coordinates of all 3 atoms:
Rh1 0.3366 0.3366 0.6634  4 Ni 2.67, 5 Sc 2.72-2.94
Ni1 0.9981 0.9981 0.0019  4 Rh 2.67, 5 Sc 2.70-2.98
Sc1 0.6654 0.6654 0.3346  5 Ni 2.70-2.98, 5 Rh 2.72-2.94


*x*
Entry from Alexandria: crystalline ScNiRh at its relaxed geometry (PBE-GGA).

Results
crystal system = cubic
N(E_F) = 4.5 states/eV/f.u.
symmetry = F-43m

abc: 4.1616 4.1616 4.1616
angles: 60.00 60.00 60.00
Last column: nearest neighbours and their distance in Å.
Fractional coordinates of all 3 atoms:
Rh1 0.0000 0.0000 0.0000  4 Ni 2.55
Sc1 0.5000 0.5000 0.5000  4 Ni 2.55
Ni1 0.2500 0.2500 0.2500  4 Sc 2.55, 4 Rh 2.55


*y*
Entry from Alexandria: crystalline ScNiRh at its relaxed geometry (PBE-GGA).

Results
crystal system = trigonal
N(E_F) = 2.9 states/eV/f.u.
symmetry = P3m1

abc: 2.9717 2.9717 6.1105
angles: 90.00 90.00 120.00
Last column: nearest neighbours and their distance in Å.
Fractional coordinates of all 3 atoms:
Sc1 0.3333 0.6667 0.6676  3 Ni 2.64, 3 Rh 2.65
Ni1 0.0000 0.0000 0.9957  3 Sc 2.64, 3 Rh 2.70
Rh1 0.6667 0.3333 0.3366  3 Sc 2.65, 3 Ni 2.70


Stability check: which of them is most stable? *w*.


*w*
Entry from Alexandria: crystalline ScNiRh at its relaxed geometry (PBE-GGA).

Results
crystal system = orthorhombic
N(E_F) = 3.0 states/eV/f.u.
symmetry = Imma

abc: 5.0539 5.0539 5.0539
angles: 89.59 57.44 117.05
Last column: nearest neighbours and their distance in Å.
Fractional coordinates of all 6 atoms:
Sc1 0.7500 0.8702 0.3798  6 Rh 2.89-3.01, 6 Ni 2.90-3.05, 4 Sc 3.05-3.15
Sc2 0.2500 0.1298 0.6202  6 Rh 2.89-3.01, 6 Ni 2.90-3.05, 4 Sc 3.05-3.15
Ni1 0.0000 0.5000 0.5000  2 Ni 2.43, 4 Rh 2.53
Ni2 0.5000 0.5000 0.0000  2 Ni 2.43, 4 Rh 2.53
Rh1 0.0000 0.5000 0.0000  4 Ni 2.53, 2 Rh 2.64
Rh2 0.5000 0.0000 0.0000  4 Ni 2.53, 2 Rh 2.64


*x*
Entry from Alexandria: crystalline ScNiRh at its relaxed geometry (PBE-GGA).

Results
crystal system = hexagonal
N(E_F) = 2.4 states/eV/f.u.
symmetry = P-6m2

abc: 4.1509 4.1509 3.2004
angles: 90.00 90.00 120.00
Last column: nearest neighbours and their distance in Å.
Fractional coordinates of all 3 atoms:
Rh1 0.6667 0.3333 0.1665  3 Ni 2.40
Ni1 0.0000 0.0000 0.1669  3 Rh 2.40
Sc1 0.3333 0.6667 0.6666  6 Ni 2.88, 6 Rh 2.88, 2 Sc 3.20


*y*
Entry from Alexandria: crystalline ScNiRh at its relaxed geometry (PBE-GGA).

Results
crystal system = cubic
N(E_F) = 2.4 states/eV/f.u.
symmetry = F-43m

abc: 4.1926 4.1926 4.1926
angles: 60.00 60.00 60.00
Last column: nearest neighbours and their distance in Å.
Fractional coordinates of all 3 atoms:
Ni1 0.0000 0.0000 0.0000  4 Sc 2.57
Sc1 0.2500 0.2500 0.2500  4 Rh 2.57, 4 Ni 2.57
Rh1 0.5000 0.5000 0.5000  4 Sc 2.57


Stability check: which of them is most stable? *w*.


*w*
Entry from Alexandria: crystalline Sc4NiRh at its relaxed geometry (PBE-GGA).

Results
crystal system = cubic
N(E_F) = 7.4 states/eV/f.u.
symmetry = F-43m

abc: 5.4528 5.4528 5.4528
angles: 60.00 60.00 60.00
Last column: nearest neighbours and their distance in Å.
Fractional coordinates of all 6 atoms:
Sc1 0.8767 0.3744 0.3744  6 Sc 2.71-2.74
Sc2 0.3744 0.3744 0.3744  6 Sc 2.71-2.74
Sc3 0.3744 0.8767 0.3744  6 Sc 2.71-2.74
Sc4 0.3744 0.3744 0.8767  6 Sc 2.71-2.74
Rh1 0.0000 0.0000 0.0000  12 Sc 3.20, 4 Ni 3.34
Ni1 0.7500 0.7500 0.7500  12 Sc 3.20, 4 Rh 3.34


*x*
Entry from Alexandria: crystalline Sc4NiRh at its relaxed geometry (PBE-GGA).

Results
crystal system = tetragonal
N(E_F) = 4.9 states/eV/f.u.
symmetry = I4_1md

abc: 7.1568 7.1568 7.1568
angles: 105.67 105.67 117.37
Last column: nearest neighbours and their distance in Å.
Fractional coordinates of all 12 atoms:
Sc1 0.7021 0.4952 0.2069  2 Ni 2.53-2.54, 1 Rh 2.59
Sc2 0.2043 0.0045 0.1998  1 Ni 2.54, 2 Rh 2.58-2.60
Sc3 0.8048 0.0045 0.8002  1 Ni 2.54, 2 Rh 2.58-2.60
Sc4 0.2883 0.4952 0.7931  2 Ni 2.53-2.54, 1 Rh 2.59
Sc5 0.2452 0.5383 0.2931  2 Ni 2.53-2.54, 1 Rh 2.59
Sc6 0.2452 0.9521 0.7069  2 Ni 2.53-2.54, 1 Rh 2.59
Sc7 0.7545 0.0548 0.3002  1 Ni 2.54, 2 Rh 2.58-2.60
Sc8 0.7545 0.4543 0.6998  1 Ni 2.54, 2 Rh 2.58-2.60
Ni1 0.2544 0.2544 0.0000  6 Sc 2.53-2.54
Ni2 0.0044 0.5044 0.5000  6 Sc 2.53-2.54
Rh1 0.7461 0.7461 0.0000  6 Sc 2.58-2.60
Rh2 0.4961 0.9961 0.5000  6 Sc 2.58-2.60


Stability check: which of them is most stable? *x*.


*w*
Entry from Alexandria: crystalline ScNiRh3 at its relaxed geometry (PBE-GGA).

Results
crystal system = cubic
N(E_F) = 9.8 states/eV/f.u.
symmetry = Pm-3m

abc: 4.5972 4.5972 4.5972
angles: 90.00 90.00 90.00
Last column: nearest neighbours and their distance in Å.
Fractional coordinates of all 5 atoms:
Rh1 0.0000 0.0000 0.5000  2 Sc 2.30
Rh2 0.5000 0.0000 0.0000  2 Sc 2.30
Rh3 0.0000 0.5000 0.0000  2 Sc 2.30
Sc1 0.0000 0.0000 0.0000  6 Rh 2.30
Ni1 0.5000 0.5000 0.5000  12 Rh 3.25


*x*
Entry from Alexandria: crystalline ScNiRh3 at its relaxed geometry (PBE-GGA).

Results
crystal system = cubic
N(E_F) = 9.7 states/eV/f.u.
symmetry = Pm-3m

abc: 4.4771 4.4771 4.4771
angles: 90.00 90.00 90.00
Last column: nearest neighbours and their distance in Å.
Fractional coordinates of all 5 atoms:
Rh1 0.0000 0.5000 0.0000  2 Ni 2.24
Rh2 0.5000 0.0000 0.0000  2 Ni 2.24
Rh3 0.0000 0.0000 0.5000  2 Ni 2.24
Ni1 0.0000 0.0000 0.0000  6 Rh 2.24
Sc1 0.5000 0.5000 0.5000  12 Rh 3.17


Stability check: which of them is most stable? *x*.